Entry 1:
Compound: Na2Cl3
Source: the Alexandria database
Functional: PBE
Structure: optimized geometry

E_form (uncorrected) in eV per atom: -1.21
Space-group type: R-3c, No. 167
Size of the total moment in μB per formula unit: 1.06

abc: 7.4765 7.4765 6.9307
angles: 57.36 57.36 60.00
Closest atoms and distances in Å follow each position.
Positions (direct):
1 Cl 0.2500 0.5498 0.2500  4 Na 2.77-2.88
2 Cl 0.9502 0.2500 0.2500  4 Na 2.77-2.88
3 Na 0.1383 0.1383 0.5850  6 Cl 2.77-2.88
4 Cl 0.5498 0.9502 0.2500  4 Na 2.77-2.88
5 Na 0.3617 0.3617 0.9150  6 Cl 2.77-2.88
6 Cl 0.7500 0.4502 0.7500  4 Na 2.77-2.88
7 Cl 0.0498 0.7500 0.7500  4 Na 2.77-2.88
8 Na 0.6383 0.6383 0.0850  6 Cl 2.77-2.88
9 Cl 0.4502 0.0498 0.7500  4 Na 2.77-2.88
10 Na 0.8617 0.8617 0.4150  6 Cl 2.77-2.88

Entry 2:
Compound: NaCl4
Source: the Alexandria database
Functional: PBE
Structure: optimized geometry

E_form (uncorrected) in eV per atom: -0.62
Space-group type: C2/m, No. 12
Size of the total moment in μB per formula unit: 0.00
Energy above the most stable polymorph in this dataset in eV/atom: 0.000

abc: 5.2396 5.3739 6.3569
angles: 105.15 90.00 119.17
Closest atoms and distances in Å follow each position.
Positions (direct):
1 Cl 0.6262 0.2523 0.1397  2 Cl 2.40-2.50
2 Na 0.0000 0.0000 0.0000  6 Cl 2.83-2.90
3 Cl 0.1173 0.2345 0.6382  2 Cl 2.37-2.40
4 Cl 0.8827 0.7655 0.3618  2 Cl 2.37-2.40
5 Cl 0.3738 0.7477 0.8603  2 Cl 2.40-2.50

Entry 3:
Compound: NaNb2Cl6
Source: the Alexandria database
Functional: PBE
Structure: optimized geometry

E_form (uncorrected) in eV per atom: -1.35
Space-group type: C2/m, No. 12
Size of the total moment in μB per formula unit: 0.00
Energy above the most stable polymorph in this dataset in eV/atom: 0.000

abc: 3.4239 7.3414 11.1642
angles: 119.14 90.00 103.49
Closest atoms and distances in Å follow each position.
Positions (direct):
1 Cl 0.3371 0.6742 0.9185  3 Nb 2.50-2.52
2 Nb 0.3050 0.6100 0.1190  6 Cl 2.50-2.57
3 Na 0.0000 0.0000 0.5000  6 Cl 2.71-2.94
4 Nb 0.6950 0.3900 0.8810  6 Cl 2.50-2.57
5 Cl 0.6674 0.3349 0.6392  1 Nb 2.52, 2 Na 2.71
6 Cl 0.6629 0.3258 0.0815  3 Nb 2.50-2.52
7 Cl 0.0396 0.0792 0.7853  2 Nb 2.57
8 Cl 0.3326 0.6651 0.3608  1 Nb 2.52, 2 Na 2.71
9 Cl 0.9604 0.9208 0.2147  2 Nb 2.57

Entry 4:
Compound: NaNb3Cl
Source: the Alexandria database
Functional: PBE
Structure: optimized geometry

E_form (uncorrected) in eV per atom: 2.29
Space-group type: Pm-3m, No. 221
Size of the total moment in μB per formula unit: 0.00
Energy above the most stable polymorph in this dataset in eV/atom: 1.412

abc: 4.8152 4.8152 4.8152
angles: 90.00 90.00 90.00
Closest atoms and distances in Å follow each position.
Positions (direct):
1 Na 0.0000 0.0000 0.0000  6 Nb 2.41
2 Nb 0.0000 0.5000 0.0000  2 Na 2.41
3 Nb 0.0000 0.0000 0.5000  2 Na 2.41
4 Nb 0.5000 0.0000 0.0000  2 Na 2.41
5 Cl 0.5000 0.5000 0.5000  12 Nb 3.40

Entry 5:
Compound: Na3NbCl
Source: the Alexandria database
Functional: PBE
Structure: optimized geometry

E_form (uncorrected) in eV per atom: 0.30
Space-group type: Pm-3m, No. 221
Size of the total moment in μB per formula unit: 5.01
Energy above the most stable polymorph in this dataset in eV/atom: 0.000

abc: 5.3535 5.3535 5.3535
angles: 90.00 90.00 90.00
Closest atoms and distances in Å follow each position.
Positions (direct):
1 Nb 0.5000 0.5000 0.5000  12 Na 3.79
2 Cl 0.0000 0.0000 0.0000  6 Na 2.68
3 Na 0.0000 0.0000 0.5000  2 Cl 2.68
4 Na 0.5000 0.0000 0.0000  2 Cl 2.68
5 Na 0.0000 0.5000 0.0000  2 Cl 2.68

Entry 6:
Compound: Na3NbCl
Source: the Alexandria database
Functional: PBE
Structure: optimized geometry

E_form (uncorrected) in eV per atom: 0.79
Space-group type: Pm-3m, No. 221
Size of the total moment in μB per formula unit: 5.01
Energy above the most stable polymorph in this dataset in eV/atom: 0.494

abc: 6.0521 6.0521 6.0521
angles: 90.00 90.00 90.00
Closest atoms and distances in Å follow each position.
Positions (direct):
1 Na 0.0000 0.0000 0.5000  2 Nb 3.03
2 Cl 0.5000 0.5000 0.5000  12 Na 4.28
3 Na 0.5000 0.0000 0.0000  2 Nb 3.03
4 Na 0.0000 0.5000 0.0000  2 Nb 3.03
5 Nb 0.0000 0.0000 0.0000  6 Na 3.03

Entry 7:
Compound: Na2NbCl
Source: the Alexandria database
Functional: PBE
Structure: optimized geometry

E_form (uncorrected) in eV per atom: 0.67
Space-group type: Fm-3m, No. 225
Size of the total moment in μB per formula unit: 5.16
Energy above the most stable polymorph in this dataset in eV/atom: 0.192

abc: 5.4165 5.4165 5.4165
angles: 60.00 60.00 60.00
Closest atoms and distances in Å follow each position.
Positions (direct):
1 Na 0.7500 0.7500 0.7500  4 Nb 3.32, 4 Cl 3.32
2 Na 0.2500 0.2500 0.2500  4 Cl 3.32, 4 Nb 3.32
3 Cl 0.0000 0.0000 0.0000  8 Na 3.32
4 Nb 0.5000 0.5000 0.5000  8 Na 3.32

Entry 8:
Compound: Na2NbCl8
Source: the Alexandria database
Functional: PBE
Structure: optimized geometry

E_form (uncorrected) in eV per atom: -1.04
Space-group type: C2/m, No. 12
Size of the total moment in μB per formula unit: 0.26

abc: 4.7827 6.4887 10.6595
angles: 87.46 102.96 90.00
Closest atoms and distances in Å follow each position.
Positions (direct):
1 Cl 0.9452 0.1109 0.8905  3 Cl 2.64-2.69, 2 Nb 2.73
2 Cl 0.6077 0.7948 0.2154  1 Nb 2.55, 2 Cl 2.69
3 Cl 0.2166 0.2822 0.4331  3 Na 2.68-2.84
4 Na 0.7745 0.2830 0.5490  3 Cl 2.68-2.84
5 Na 0.2255 0.7170 0.4510  3 Cl 2.68-2.84
6 Cl 0.5561 0.2962 0.1121  1 Nb 2.29
7 Cl 0.4439 0.7038 0.8879  1 Nb 2.29
8 Cl 0.0548 0.8891 0.1095  3 Cl 2.64-2.69, 2 Nb 2.73
9 Cl 0.3923 0.2052 0.7846  1 Nb 2.55, 2 Cl 2.69
10 Nb 0.5000 0.0000 0.0000  4 Cl 2.29-2.55
11 Cl 0.7834 0.7178 0.5669  3 Na 2.68-2.84

Entry 9:
Compound: NaNb3Cl
Source: the Alexandria database
Functional: PBE
Structure: optimized geometry

E_form (uncorrected) in eV per atom: 0.88
Space-group type: Pm-3m, No. 221
Size of the total moment in μB per formula unit: 0.00
Energy above the most stable polymorph in this dataset in eV/atom: 0.000

abc: 4.6609 4.6609 4.6609
angles: 90.00 90.00 90.00
Closest atoms and distances in Å follow each position.
Positions (direct):
1 Na 0.5000 0.5000 0.5000  12 Nb 3.30
2 Cl 0.0000 0.0000 0.0000  6 Nb 2.33
3 Nb 0.5000 0.0000 0.0000  2 Cl 2.33
4 Nb 0.0000 0.5000 0.0000  2 Cl 2.33
5 Nb 0.0000 0.0000 0.5000  2 Cl 2.33

Entry 10:
Compound: NaNb2Cl6
Source: the Alexandria database
Functional: PBE
Structure: optimized geometry

E_form (uncorrected) in eV per atom: -1.08
Space-group type: C2/c, No. 15
Size of the total moment in μB per formula unit: 2.63
Energy above the most stable polymorph in this dataset in eV/atom: 0.271

abc: 6.3167 9.1195 9.1195
angles: 63.31 78.56 78.56
Closest atoms and distances in Å follow each position.
Positions (direct):
1 Cl 0.3306 0.9952 0.2071  1 Nb 2.44
2 Nb 0.7494 0.7769 0.7111  5 Cl 2.44-2.51
3 Nb 0.2506 0.2231 0.2889  5 Cl 2.44-2.51
4 Cl 0.9301 0.3842 0.3780  2 Nb 2.48
5 Cl 0.0699 0.6158 0.6220  2 Nb 2.48
6 Cl 0.7775 0.9864 0.4149  2 Nb 2.51
7 Cl 0.6694 0.0048 0.7929  1 Nb 2.44
8 Cl 0.8306 0.2071 0.9952  1 Nb 2.44
9 Cl 0.2775 0.4149 0.9864  2 Nb 2.51
10 Cl 0.5699 0.6220 0.6158  2 Nb 2.48
11 Cl 0.2225 0.0136 0.5851  2 Nb 2.51
12 Nb 0.2494 0.7111 0.7769  5 Cl 2.44-2.51
13 Cl 0.4301 0.3780 0.3842  2 Nb 2.48
14 Na 0.7500 0.8703 0.1297  4 Cl 2.76-2.86
15 Na 0.2500 0.1297 0.8703  4 Cl 2.76-2.86
16 Cl 0.7225 0.5851 0.0136  2 Nb 2.51
17 Cl 0.1694 0.7929 0.0048  1 Nb 2.44
18 Nb 0.7506 0.2889 0.2231  5 Cl 2.44-2.51

Entry 11:
Compound: NaNbCl5
Source: the Alexandria database
Functional: PBE
Structure: optimized geometry

E_form (uncorrected) in eV per atom: -1.34
Space-group type: C2/c, No. 15
Size of the total moment in μB per formula unit: 1.00

abc: 6.9826 6.9826 9.6085
angles: 70.71 70.71 69.63
Closest atoms and distances in Å follow each position.
Positions (direct):
1 Cl 0.2307 0.6514 0.9786  1 Nb 2.44
2 Cl 0.8560 0.7084 0.6229  1 Nb 2.37
3 Cl 0.2916 0.1440 0.8771  1 Nb 2.37
4 Cl 0.0949 0.9051 0.2500  2 Nb 2.52
5 Nb 0.0000 0.0000 0.0000  6 Cl 2.37-2.52
6 Cl 0.6514 0.2307 0.4786  1 Nb 2.44
7 Cl 0.7084 0.8560 0.1229  1 Nb 2.37
8 Cl 0.9051 0.0949 0.7500  2 Nb 2.52
9 Cl 0.7693 0.3486 0.0214  1 Nb 2.44
10 Cl 0.3486 0.7693 0.5214  1 Nb 2.44
11 Nb 0.0000 0.0000 0.5000  6 Cl 2.37-2.52
12 Na 0.4676 0.5324 0.2500  5 Cl 2.80-2.98
13 Na 0.5324 0.4676 0.7500  5 Cl 2.80-2.98
14 Cl 0.1440 0.2916 0.3771  1 Nb 2.37

Entry 12:
Compound: NaNbCl2
Source: the Alexandria database
Functional: PBE
Structure: optimized geometry

E_form (uncorrected) in eV per atom: -0.67
Space-group type: R-3m, No. 166
Size of the total moment in μB per formula unit: 0.00
Energy above the most stable polymorph in this dataset in eV/atom: 0.014

abc: 8.7968 8.7968 8.7968
angles: 21.82 21.82 21.82
Closest atoms and distances in Å follow each position.
Positions (direct):
1 Na 0.5000 0.5000 0.5000  6 Cl 2.67
2 Nb 0.0000 0.0000 0.0000  2 Cl 2.44
3 Cl 0.9052 0.9052 0.9052  1 Nb 2.44, 3 Na 2.67
4 Cl 0.0948 0.0948 0.0948  1 Nb 2.44, 3 Na 2.67

Entry 13:
Compound: NaNbCl2
Source: the Alexandria database
Functional: PBE
Structure: optimized geometry

E_form (uncorrected) in eV per atom: -0.20
Space-group type: Fm-3m, No. 225
Size of the total moment in μB per formula unit: 0.00
Energy above the most stable polymorph in this dataset in eV/atom: 0.481

abc: 4.6073 4.6073 4.6073
angles: 60.00 60.00 60.00
Closest atoms and distances in Å follow each position.
Positions (direct):
1 Cl 0.2500 0.2500 0.2500  4 Nb 2.82, 4 Na 2.82
2 Cl 0.7500 0.7500 0.7500  4 Nb 2.82, 4 Na 2.82
3 Na 0.0000 0.0000 0.0000  8 Cl 2.82
4 Nb 0.5000 0.5000 0.5000  8 Cl 2.82